Record 1
LiRh2W, optimized geometry, DFT GGA-PBE; VASP energy = -7.348 eV per atom; symmetry = No. 10; V = 14.3 A^3/atom; ΔE_f = 4.3 kJ per mole of atoms
1.0
2.738 0.000 0.000
0.000 5.021 0.019
0.000 2.923 4.177
Rh W Li
2 1 1
Cartesian
1.369 2.511 0.009
0.000 0.000 0.000
1.369 3.972 2.098
0.000 1.461 2.089



Record 2
LiRh2W, optimized geometry, DFT GGA-PBE; VASP energy = -7.495 eV per atom; symmetry = No. 123; V = 14.2 A^3/atom; ΔE_f = -9.9 kJ per mole of atoms
1.0
2.886 0.000 0.000
0.000 4.436 0.000
0.000 0.000 4.436
Rh W Li
2 1 1
Cartesian
0.000 0.000 0.000
0.000 2.218 2.218
1.443 2.218 0.000
1.443 0.000 2.218



Record 3
LiRh4W3, optimized geometry, DFT GGA-PBE; VASP energy = -8.905 eV per atom; symmetry = No. 139; V = 14.4 A^3/atom; ΔE_f = -12.8 kJ per mole of atoms
1.0
3.817 0.000 -1.030
-0.274 3.812 -1.014
0.084 0.054 7.895
Rh W Li
4 3 1
Cartesian
1.417 1.498 5.249
3.189 3.402 4.228
2.210 2.369 0.602
0.438 0.464 1.624
-0.137 1.906 -0.507
2.819 0.961 2.856
0.809 2.905 2.995
1.909 0.000 -0.515



Record 4
Li2RhW, optimized geometry, DFT GGA-PBE; E above lowest polymorph = 479 meV/atom; VASP energy = -5.432 eV per atom; symmetry = No. 123; V = 13.1 A^3/atom; ΔE_f = 58.0 kJ per mole of atoms
1.0
-1.506 -0.280 4.164
-2.068 -3.795 -1.003
2.181 -1.373 0.697
Rh Li W
1 2 1
Cartesian
0.338 -0.826 2.430
0.000 0.000 0.000
-1.787 -2.037 1.581
0.057 -2.584 -0.153



Record 5
Li2RhW, optimized geometry, DFT GGA-PBE; E above lowest polymorph = 63 meV/atom; VASP energy = -5.848 eV per atom; symmetry = No. 65; V = 14.7 A^3/atom; ΔE_f = 17.9 kJ per mole of atoms
1.0
-0.997 -2.235 -0.980
0.458 -0.044 2.596
-8.635 3.160 1.578
Li Rh W
2 1 1
Cartesian
-4.152 1.519 0.759
-0.165 0.061 0.030
-2.428 -0.350 1.203
-6.746 1.230 1.992



Record 6
Li3RhW, optimized geometry, DFT GGA-PBE; E above lowest polymorph = 0 meV/atom; VASP energy = -3.956 eV per atom; symmetry = No. 221; V = 14.8 A^3/atom; ΔE_f = 120.9 kJ per mole of atoms
1.0
4.203 0.000 0.000
0.000 4.203 0.000
0.000 0.000 4.203
Li W Rh
3 1 1
Cartesian
2.101 0.000 0.000
0.000 2.101 0.000
0.000 0.000 2.101
2.101 2.101 2.101
0.000 0.000 0.000



Record 7
Li4RhW, optimized geometry, DFT GGA-PBE; VASP energy = -4.264 eV per atom; symmetry = No. 216; V = 12.5 A^3/atom; ΔE_f = 38.2 kJ per mole of atoms
1.0
0.000 3.349 3.349
3.349 0.000 3.349
3.349 3.349 0.000
Li W Rh
4 1 1
Cartesian
2.520 2.520 2.520
4.178 4.178 2.520
4.178 2.520 4.178
2.520 4.178 4.178
0.000 0.000 0.000
5.023 5.023 5.023



Record 8
LiRh2W, optimized geometry, DFT GGA-PBE; VASP energy = -7.289 eV per atom; symmetry = No. 99; V = 14.1 A^3/atom; ΔE_f = 10.0 kJ per mole of atoms
1.0
-1.868 -1.931 -1.755
0.378 -2.336 2.167
-4.418 1.806 2.717
W Li Rh
1 1 2
Cartesian
-2.232 0.912 1.372
-4.178 -0.731 2.317
-4.178 1.707 2.569
-1.949 -1.641 0.947



Record 9
Li2RhW, optimized geometry, DFT GGA-PBE; E above lowest polymorph = 27 meV/atom; VASP energy = -5.884 eV per atom; symmetry = No. 25; V = 15.2 A^3/atom; ΔE_f = 14.4 kJ per mole of atoms
1.0
2.709 0.000 0.000
0.000 3.983 0.000
0.000 0.000 5.636
Rh Li W
1 2 1
Cartesian
0.000 0.000 2.991
1.355 1.992 1.334
0.000 0.000 0.111
1.355 1.992 4.018



Record 10
Li2RhW, optimized geometry, DFT GGA-PBE; E above lowest polymorph = 12 meV/atom; VASP energy = -5.898 eV per atom; symmetry = No. 99; V = 15.2 A^3/atom; ΔE_f = 13.0 kJ per mole of atoms
1.0
-1.384 -1.162 2.198
0.057 -2.530 -1.301
6.569 -1.556 3.315
Rh Li W
1 2 1
Cartesian
3.259 -0.772 1.645
1.140 -2.273 1.358
0.044 -0.010 0.022
4.083 -2.970 2.844



Record 11
Li2Rh2W, optimized geometry, DFT GGA-PBE; VASP energy = -6.184 eV per atom; symmetry = No. 127; V = 13.5 A^3/atom; ΔE_f = 10.8 kJ per mole of atoms
1.0
6.868 0.000 0.000
0.000 6.868 0.000
0.000 0.000 2.866
Li Rh W
4 4 2
Cartesian
5.941 2.507 1.433
4.361 5.941 1.433
2.507 0.927 1.433
0.927 4.361 1.433
5.745 4.557 0.000
4.557 1.123 0.000
2.311 5.745 0.000
1.123 2.311 0.000
0.000 0.000 0.000
3.434 3.434 0.000



Record 12
Li2RhW, optimized geometry, DFT GGA-PBE; E above lowest polymorph = 41 meV/atom; VASP energy = -5.870 eV per atom; symmetry = No. 47; V = 14.7 A^3/atom; ΔE_f = 15.8 kJ per mole of atoms
1.0
-0.677 -1.074 2.453
1.746 -3.927 -1.237
4.221 1.327 1.747
W Li Rh
1 2 1
Cartesian
2.984 -1.300 0.255
0.000 0.000 0.000
0.534 -2.501 0.608
1.772 0.127 2.100



Record 13
LiRh2W, optimized geometry, DFT GGA-PBE; VASP energy = -7.191 eV per atom; symmetry = No. 99; V = 14.0 A^3/atom; ΔE_f = 19.4 kJ per mole of atoms
1.0
2.739 0.000 0.000
0.000 2.739 0.000
0.000 0.000 7.481
Li Rh W
1 2 1
Cartesian
1.369 1.369 5.756
1.369 1.369 1.815
0.000 0.000 7.357
0.000 0.000 3.775



Record 14
LiRh2W, optimized geometry, DFT GGA-PBE; VASP energy = -7.507 eV per atom; symmetry = No. 166; V = 14.8 A^3/atom; ΔE_f = -11.0 kJ per mole of atoms
1.0
8.798 -0.032 -0.019
8.360 2.741 -0.019
8.360 1.320 2.402
Rh W Li
2 1 1
Cartesian
25.478 4.023 2.361
12.798 2.021 1.186
6.379 1.007 0.591
19.138 3.022 1.774



Record 15
Li2RhW, optimized geometry, DFT GGA-PBE; E above lowest polymorph = 141 meV/atom; VASP energy = -5.769 eV per atom; symmetry = No. 44; V = 13.1 A^3/atom; ΔE_f = 25.4 kJ per mole of atoms
1.0
-0.222 -2.466 -4.177
0.315 -4.814 0.548
-2.569 3.980 1.069
Li W Rh
2 1 1
Cartesian
0.091 -7.117 -3.548
-1.371 -1.148 -2.504
-1.104 -2.212 -0.086
0.048 -3.745 -1.867



Record 16
Li2RhW, optimized geometry, DFT GGA-PBE; E above lowest polymorph = 153 meV/atom; VASP energy = -5.758 eV per atom; symmetry = No. 65; V = 14.6 A^3/atom; ΔE_f = 26.6 kJ per mole of atoms
1.0
5.126 0.008 0.000
-2.738 4.334 0.000
0.000 0.000 2.635
Rh Li W
1 2 1
Cartesian
2.563 0.004 1.317
1.194 2.171 0.000
0.000 0.000 0.000
-1.369 2.167 1.317



Record 17
Li2RhW, optimized geometry, DFT GGA-PBE; E above lowest polymorph = 535 meV/atom; VASP energy = -5.376 eV per atom; symmetry = No. 225; V = 12.8 A^3/atom; ΔE_f = 63.4 kJ per mole of atoms
1.0
-2.832 -0.836 2.934
-3.868 -1.085 -1.090
-1.306 -3.910 0.578
Rh Li W
1 2 1
Cartesian
0.000 0.000 0.000
-2.002 -1.458 0.606
-6.005 -4.374 1.817
-4.003 -2.916 1.211



Record 18
LiRh4W, optimized geometry, DFT GGA-PBE; E above lowest polymorph = 0 meV/atom; VASP energy = -7.450 eV per atom; symmetry = No. 12; V = 14.4 A^3/atom; ΔE_f = -6.8 kJ per mole of atoms
1.0
2.626 0.000 0.760
1.392 4.568 0.107
-0.624 -0.815 7.076
Rh Li W
4 1 1
Cartesian
2.062 4.271 2.711
1.333 -0.518 5.231
1.039 2.116 1.326
2.355 1.637 6.616
1.697 1.876 3.971
0.000 0.000 0.000



Record 19
Li2RhW, optimized geometry, DFT GGA-PBE; E above lowest polymorph = 38 meV/atom; VASP energy = -5.873 eV per atom; symmetry = No. 71; V = 14.7 A^3/atom; ΔE_f = 15.5 kJ per mole of atoms
1.0
5.446 0.001 -0.001
2.907 4.605 0.001
-3.606 -3.338 2.348
Li Rh W
2 1 1
Cartesian
8.235 4.541 0.000
4.294 2.368 0.000
3.008 -0.517 1.174
1.739 1.785 1.175



Record 20
LiRh4W, optimized geometry, DFT GGA-PBE; E above lowest polymorph = 103 meV/atom; VASP energy = -7.347 eV per atom; symmetry = No. 12; V = 14.2 A^3/atom; ΔE_f = 3.1 kJ per mole of atoms
1.0
4.375 0.000 0.000
-2.188 4.483 1.192
0.000 0.076 8.684
Rh W Li
8 2 2
Cartesian
-1.094 2.469 1.987
1.094 2.507 6.330
1.094 0.202 7.859
-1.094 4.395 6.360
3.281 2.090 7.889
3.281 0.164 3.517
1.094 2.052 3.547
1.094 4.357 2.018
-1.094 2.280 4.938
1.094 2.242 0.596
3.282 0.057 6.513
1.094 0.019 2.171



Record 21
LiRh2W, optimized geometry, DFT GGA-PBE; VASP energy = -7.497 eV per atom; symmetry = No. 65; V = 14.2 A^3/atom; ΔE_f = -10.1 kJ per mole of atoms
1.0
-2.366 -0.768 3.767
0.921 -4.304 -1.000
2.371 0.154 1.521
Rh W Li
2 1 1
Cartesian
-0.722 -2.536 1.383
0.000 0.000 0.000
0.002 -0.307 2.644
1.646 -2.075 0.260



Record 22
Li2RhW, optimized geometry, DFT GGA-PBE; E above lowest polymorph = 58 meV/atom; VASP energy = -5.852 eV per atom; symmetry = No. 166; V = 14.7 A^3/atom; ΔE_f = 17.4 kJ per mole of atoms
1.0
9.513 0.001 0.000
9.132 2.665 0.000
9.132 1.305 2.323
Rh Li W
1 2 1
Cartesian
6.944 0.993 0.581
14.081 2.013 1.178
27.586 3.943 2.308
20.833 2.978 1.743



Record 23
LiRh2W2, optimized geometry, DFT GGA-PBE; VASP energy = -8.447 eV per atom; symmetry = No. 127; V = 16.5 A^3/atom; ΔE_f = 5.5 kJ per mole of atoms
1.0
-1.674 -1.028 -7.508
-2.525 -7.174 1.545
-2.515 0.977 0.427
W Rh Li
4 4 2
Cartesian
-1.161 -2.854 -0.307
-2.862 -6.710 -1.498
-3.038 -5.348 -5.656
-1.338 -1.492 -4.465
-3.470 -2.711 -5.494
-2.241 -1.085 -1.979
-4.473 -6.139 -3.557
-3.244 -4.513 -0.042
0.000 0.000 0.000
-2.100 -4.101 -2.982



Record 24
LiRh2W, optimized geometry, DFT GGA-PBE; VASP energy = -7.596 eV per atom; symmetry = No. 123; V = 13.7 A^3/atom; ΔE_f = -19.6 kJ per mole of atoms
1.0
2.918 0.000 0.000
0.000 2.918 0.000
0.000 0.000 6.418
Rh W Li
2 1 1
Cartesian
0.000 0.000 6.305
0.000 0.000 3.323
1.459 1.459 1.605
1.459 1.459 4.814



Record 25
Li2Rh6W, optimized geometry, DFT GGA-PBE; VASP energy = -6.768 eV per atom; symmetry = No. 12; V = 14.1 A^3/atom; ΔE_f = -0.3 kJ per mole of atoms
1.0
-3.745 -2.323 -1.140
-0.148 -4.641 0.920
-2.709 -1.038 6.502
W Li Rh
1 2 6
Cartesian
-1.354 -0.519 3.251
-4.266 -5.888 5.644
-2.336 -2.114 0.638
-3.919 -5.214 3.129
-3.657 -4.395 0.602
-1.202 -4.454 1.685
-2.683 -2.787 3.153
-5.399 -3.547 4.597
-2.945 -3.606 5.680



Record 26
LiRh6W, optimized geometry, DFT GGA-PBE; VASP energy = -7.518 eV per atom; symmetry = No. 12; V = 14.1 A^3/atom; ΔE_f = -14.1 kJ per mole of atoms
1.0
-3.085 1.940 -1.222
-3.538 0.126 3.086
0.622 6.577 2.825
Li Rh W
1 6 1
Cartesian
0.000 0.000 0.000
-3.475 4.698 4.140
-1.972 5.922 2.287
-3.973 7.297 3.478
-2.526 3.945 0.549
-2.028 1.346 1.211
-4.029 2.721 2.402
-1.458 3.352 2.956



Record 27
Li2RhW, optimized geometry, DFT GGA-PBE; E above lowest polymorph = 171 meV/atom; VASP energy = -5.740 eV per atom; symmetry = No. 139; V = 14.8 A^3/atom; ΔE_f = 28.3 kJ per mole of atoms
1.0
5.272 0.001 0.000
2.836 4.445 0.000
-4.054 -2.223 2.534
Rh W Li
1 1 2
Cartesian
1.418 2.222 1.267
2.636 0.000 1.267
4.054 2.223 0.000
0.000 0.000 0.000



Record 28
Li3YRh, optimized geometry, DFT GGA-PBE; E above lowest polymorph = 1325 meV/atom; VASP energy = -2.438 eV per atom; symmetry = No. 221; V = 20.0 A^3/atom; ΔE_f = 142.1 kJ per mole of atoms
1.0
4.638 0.000 0.000
0.000 4.638 0.000
0.000 0.000 4.638
Rh Li Y
1 3 1
Cartesian
2.319 2.319 2.319
2.319 0.000 0.000
0.000 0.000 2.319
0.000 2.319 0.000
0.000 0.000 0.000